[1]
## LiZnGe2 (PBE-GGA)

Data for crystalline LiZnGe2 at its relaxed geometry.

Cell lengths 4.594, 4.594, 4.594 Å; angles 60.00, 60.00, 60.00 degrees
Fractional positions:
Ge 0.250 0.250 0.250
Ge 0.750 0.750 0.750
Zn 0.500 0.500 0.500
Li 0.000 0.000 0.000

- space group = No. 225
- ρ (g cm⁻³) = 5.27
- calculated formation energy (meV/atom) = 5
- energy above the lowest structure with this stoichiometry (meV per atom) = 77

=====

[2]
## Li3ZnGe3 (PBE-GGA)

Data for crystalline Li3ZnGe3 at its relaxed geometry.

Cell lengths 6.723, 6.723, 6.364 Å; angles 92.23, 92.23, 112.30 degrees
Fractional positions:
Li 0.600 0.600 0.333
Li 0.111 0.889 0.500
Li 0.889 0.111 0.500
Li 0.234 0.766 0.000
Li 0.766 0.234 0.000
Li 0.400 0.400 0.667
Zn 0.768 0.768 0.765
Zn 0.232 0.232 0.235
Ge 0.892 0.892 0.147
Ge 0.844 0.448 0.627
Ge 0.448 0.844 0.627
Ge 0.156 0.552 0.373
Ge 0.552 0.156 0.373
Ge 0.108 0.108 0.853

- space group = No. 12
- ρ (g cm⁻³) = 3.80
- calculated formation energy (meV/atom) = -121

=====

[3]
## Li3Zn5Ge2 (PBE-GGA)

Data for crystalline Li3Zn5Ge2 at its relaxed geometry.

Cell lengths 5.396, 8.488, 8.488 Å; angles 90.28, 71.47, 71.47 degrees
Fractional positions:
Li 0.250 0.000 0.000
Li 0.750 0.000 0.000
Li 0.374 0.354 0.899
Li 0.626 0.646 0.101
Li 0.874 0.899 0.354
Li 0.126 0.101 0.646
Zn 0.250 0.500 0.500
Zn 0.750 0.500 0.500
Zn 0.501 0.749 0.749
Zn 0.999 0.251 0.251
Zn 0.499 0.251 0.251
Zn 0.001 0.749 0.749
Zn 0.125 0.527 0.224
Zn 0.875 0.473 0.776
Zn 0.625 0.224 0.527
Zn 0.375 0.776 0.473
Ge 0.133 0.721 0.013
Ge 0.867 0.279 0.987
Ge 0.633 0.013 0.721
Ge 0.367 0.987 0.279

- space group = No. 72
- ρ (g cm⁻³) = 4.72
- calculated formation energy (meV/atom) = -85

=====

[4]
## Li3ZnGe2 (PBE-GGA)

Data for crystalline Li3ZnGe2 at its relaxed geometry.

Cell lengths 5.176, 5.145, 8.464 Å; angles 107.69, 107.80, 90.00 degrees
Fractional positions:
Li 0.481 0.692 0.385
Li 0.519 0.308 0.615
Li 0.096 0.808 0.615
Li 0.904 0.192 0.385
Li 0.500 0.750 0.000
Li 0.500 0.250 0.000
Zn 0.000 0.250 0.000
Zn 0.000 0.750 0.000
Ge 0.344 0.129 0.258
Ge 0.656 0.871 0.742
Ge 0.087 0.371 0.742
Ge 0.913 0.629 0.258

- space group = No. 72
- ρ (g cm⁻³) = 3.78
- calculated formation energy (meV/atom) = -188

=====

[5]
## Li3Zn2Ge3 (PBE-GGA)

Data for crystalline Li3Zn2Ge3 at its relaxed geometry.

Cell lengths 4.152, 5.813, 12.549 Å; angles 90.00, 90.00, 110.92 degrees
Fractional positions:
Li 0.939 0.879 0.384
Li 0.061 0.121 0.884
Li 0.939 0.879 0.116
Li 0.061 0.121 0.616
Li 0.663 0.325 0.250
Li 0.337 0.675 0.750
Zn 0.782 0.565 0.902
Zn 0.218 0.435 0.402
Zn 0.782 0.565 0.598
Zn 0.218 0.435 0.098
Ge 0.604 0.207 0.460
Ge 0.396 0.793 0.960
Ge 0.604 0.207 0.040
Ge 0.396 0.793 0.540
Ge 0.374 0.748 0.250
Ge 0.626 0.252 0.750

- space group = No. 63
- ρ (g cm⁻³) = 4.34
- calculated formation energy (meV/atom) = -172

=====

[6]
## Li4ZnGe (PBE-GGA)

Data for crystalline Li4ZnGe at its relaxed geometry.

Cell lengths 4.711, 6.653, 7.666 Å; angles 115.73, 107.78, 89.98 degrees
Fractional positions:
Li 0.188 0.688 0.376
Li 0.355 0.085 0.711
Li 0.000 0.170 0.000
Li 0.645 0.373 0.289
Li 0.812 0.312 0.624
Li 0.645 0.915 0.289
Li 0.000 0.830 0.000
Li 0.355 0.627 0.711
Zn 0.254 0.500 0.000
Zn 0.746 0.500 0.000
Ge 0.811 0.812 0.623
Ge 0.189 0.188 0.377

- space group = No. 12
- ρ (g cm⁻³) = 2.70
- calculated formation energy (meV/atom) = -174
- energy above the lowest structure with this stoichiometry (meV per atom) = 93

=====

[7]
## Li2Zn3Ge2 (PBE-GGA)

Data for crystalline Li2Zn3Ge2 at its relaxed geometry.

Cell lengths 4.153, 5.066, 6.447 Å; angles 99.93, 90.00, 114.20 degrees
Fractional positions:
Li 0.609 0.219 0.346
Li 0.391 0.781 0.654
Zn 0.290 0.581 0.136
Zn 0.000 0.000 0.000
Zn 0.710 0.419 0.864
Ge 0.103 0.207 0.669
Ge 0.897 0.793 0.331

- space group = No. 12
- ρ (g cm⁻³) = 4.86
- calculated formation energy (meV/atom) = -115

=====

[8]
## LiZnGe2 (PBE-GGA)

Data for crystalline LiZnGe2 at its relaxed geometry.

Cell lengths 3.842, 4.158, 4.158 Å; angles 90.00, 90.00, 90.00 degrees
Fractional positions:
Ge 0.000 0.000 0.500
Ge 0.000 0.500 0.000
Zn 0.500 0.500 0.500
Li 0.500 0.000 0.000

- space group = No. 123
- ρ (g cm⁻³) = 5.44
- calculated formation energy (meV/atom) = -72
- energy above the lowest structure with this stoichiometry (meV per atom) = 0

=====

Number 1: uncorrected energy -12.4 eV per cell. Number 2: uncorrected energy -43.4 eV per cell. Number 3: uncorrected energy -44.4 eV per cell. Number 4: uncorrected energy -34.8 eV per cell. Number 5: uncorrected energy -47.0 eV per cell. Number 6: uncorrected energy -29.2 eV per cell. Number 7: uncorrected energy -17.7 eV per cell. Number 8: uncorrected energy -12.7 eV per cell.